The following is a PBE-GGA calculation of an optimized crystal structure of RbCd2Pb5, from Alexandria.

Cell: 8.0767 8.0767 8.0767 Å, 146.14 109.92 80.15°
Atoms (fractional coordinates):
Rb 0.0000 0.0000 0.0000
Cd 0.2401 0.7401 0.5000
Cd 0.7599 0.2599 0.5000
Pb 0.1616 0.3527 0.8088
Pb 0.4561 0.6473 0.8088
Pb 0.5000 0.0000 0.5000
Pb 0.5439 0.3527 0.1912
Pb 0.8384 0.6473 0.1912

DFT total energy (eV/atom): -2.697
Formation energy from the elements (meV/atom): -29
SG: No. 71
DOS(E_F) (states/eV per cell): 4.14

=====

The following is a PBE-GGA calculation of an optimized crystal structure of CaScCr, from Alexandria.

Cell: 5.0927 5.0927 3.3080 Å, 90.00 90.00 120.00°
Atoms (fractional coordinates):
Ca 0.0000 0.0000 0.0000
Sc 0.3333 0.6667 0.6068
Cr 0.6667 0.3333 0.3433

Excess energy over the best structure of this formula in the dataset (meV per atom): 190.3
DFT total energy (eV/atom): -5.408
Formation energy from the elements (meV/atom): 578
SG: No. 156
DOS(E_F) (states/eV per cell): 4.24

=====

The following is a PBE-GGA calculation of an optimized crystal structure of LiMgZnRu, from Alexandria.

Cell: 4.3674 4.3674 4.3674 Å, 60.00 60.00 60.00°
Atoms (fractional coordinates):
Li 0.0000 0.0000 0.0000
Mg 0.2500 0.2500 0.2500
Zn 0.7500 0.7500 0.7500
Ru 0.5000 0.5000 0.5000

Excess energy over the best structure of this formula in the dataset (meV per atom): 37.6
DFT total energy (eV/atom): -3.584
Formation energy from the elements (meV/atom): -69
SG: No. 216
DOS(E_F) (states/eV per cell): 1.22

=====

The following is a PBE-GGA calculation of an optimized crystal structure of Ho2Al12Au7, from Alexandria.

Cell: 10.5211 10.5211 4.0445 Å, 90.00 90.00 120.00°
Atoms (fractional coordinates):
Ho 0.3333 0.6667 0.2657
Ho 0.6667 0.3333 0.7343
Al 0.0488 0.4346 0.7487
Al 0.1103 0.2662 0.2591
Al 0.1559 0.8897 0.2591
Al 0.2662 0.1559 0.7409
Al 0.3857 0.9512 0.7487
Al 0.4346 0.3857 0.2513
Al 0.5654 0.6143 0.7487
Al 0.6143 0.0488 0.2513
Al 0.7338 0.8441 0.2591
Al 0.8441 0.1103 0.7409
Al 0.8897 0.7338 0.7409
Al 0.9512 0.5654 0.2513
Au 0.0000 0.0000 0.5000
Au 0.1292 0.7119 0.7622
Au 0.2881 0.4172 0.7622
Au 0.4172 0.1292 0.2378
Au 0.5828 0.8708 0.7622
Au 0.7119 0.5828 0.2378
Au 0.8708 0.2881 0.2378

DFT total energy (eV/atom): -4.168
Formation energy from the elements (meV/atom): -501
SG: No. 147
DOS(E_F) (states/eV per cell): 8.76

=====

The following is a PBE-GGA calculation of an optimized crystal structure of Tb5AlIn3, from Alexandria.

Cell: 9.2912 9.2912 6.5937 Å, 90.00 90.00 120.00°
Atoms (fractional coordinates):
Tb 0.0000 0.2793 0.2500
Tb 0.0000 0.7207 0.7500
Tb 0.2793 0.0000 0.2500
Tb 0.2793 0.2793 0.7500
Tb 0.3333 0.6667 0.0000
Tb 0.3333 0.6667 0.5000
Tb 0.6667 0.3333 0.0000
Tb 0.6667 0.3333 0.5000
Tb 0.7207 0.0000 0.7500
Tb 0.7207 0.7207 0.2500
Al 0.0000 0.0000 0.0000
Al 0.0000 0.0000 0.5000
In 0.0000 0.3742 0.7500
In 0.0000 0.6258 0.2500
In 0.3742 0.0000 0.7500
In 0.3742 0.3742 0.2500
In 0.6258 0.0000 0.2500
In 0.6258 0.6258 0.7500

DFT total energy (eV/atom): -4.314
Formation energy from the elements (meV/atom): -413
SG: No. 193
DOS(E_F) (states/eV per cell): 14.60

=====

The following is a PBE-GGA calculation of an optimized crystal structure of Ti2AuSeN, from Alexandria.

Cell: 4.9988 4.9988 4.7825 Å, 90.00 90.00 90.00°
Atoms (fractional coordinates):
Ti 0.0000 0.5000 0.0000
Ti 0.5000 0.0000 0.0000
Au 0.0000 0.0000 0.0000
Se 0.0000 0.0000 0.5000
N 0.5000 0.5000 0.5000

DFT total energy (eV/atom): -4.393
Uncorrected formation energy (eV/atom): 1.783
SG: No. 123
DOS(E_F) (states/eV per cell): 7.75